Computed, not measured: SrSc2Ti2 after structural relaxation at the GGA-PBE level of DFT.

The structure belongs to space group P4/mbm (No. 127); the cell edges are 8.765, 8.765 and 3.213 Å and the angles 90.00°, 90.00° and 90.00°. The distinct sites, in fractional coordinates, are Sr at (0.000, 0.000, 0.000), Sc at (0.123, 0.377, 0.000) and Ti at (0.167, 0.667, 0.500).

As for the calculated formation energy: 353 meV per atom.



Computed, not measured: TeIrI2O after structural relaxation at the GGA-PBE level of DFT.

The structure belongs to space group P4/mmm (No. 123); the cell edges are 5.967, 5.967 and 3.964 Å and the angles 90.00°, 90.00° and 90.00°. The distinct sites, in fractional coordinates, are Te at (0.000, 0.000, 0.000), Ir at (0.500, 0.500, 0.500), I at (0.000, 0.500, 0.000) and O at (0.000, 0.000, 0.500).

For the energy relative to the lowest polymorph listed for this composition, the calculation gives 772 meV per atom. Its uncorrected formation energy is 0.91 eV/atom.



no.,uncorrected energy (eV for the cell shown)
1,-56.74
2,-15.53